A plane-wave DFT calculation with PBE was carried out for an optimized crystal structure of InPdNO.

Structure (CIF):
```
data_InPdNO
_cell_length_a 6.519
_cell_length_b 6.531
_cell_length_c 4.517
_cell_angle_alpha 90.00
_cell_angle_beta 90.00
_cell_angle_gamma 90.00
_symmetry_space_group_name_H-M 'C m m e'
_symmetry_Int_Tables_number 67
_symmetry_space_group_name_Hall '-C 2a 2'
loop_
_atom_site_label
_atom_site_type_symbol
_atom_site_fract_x
_atom_site_fract_y
_atom_site_fract_z
_atom_site_occupancy
In1 In 0.250 0.000 0.000 1
Pd1 Pd 0.000 0.250 0.499 1
N1 N 0.000 0.250 0.998 1
O1 O 0.250 0.000 0.500 1
```

A plane-wave DFT calculation with PBE was carried out for an optimized crystal structure of InPdNO.

Structure (CIF):
```
data_InPdNO
_cell_length_a 4.112
_cell_length_b 4.112
_cell_length_c 6.859
_cell_angle_alpha 90.00
_cell_angle_beta 90.00
_cell_angle_gamma 90.00
_symmetry_space_group_name_H-M 'P 4/n m m'
_symmetry_Int_Tables_number 129
loop_
_symmetry_equiv_pos_as_xyz
'x,y,z'
'-x,-y,-z'
'-y+1/2,x,z'
'y+1/2,-x,-z'
'-x+1/2,-y+1/2,z'
'x+1/2,y+1/2,-z'
'y,-x+1/2,z'
'-y,x+1/2,-z'
'x+1/2,-y,-z'
'-x+1/2,y,z'
'-y,-x,-z'
'y,x,z'
'-x,y+1/2,-z'
'x,-y+1/2,z'
'y+1/2,x+1/2,-z'
'-y+1/2,-x+1/2,z'
loop_
_atom_site_label
_atom_site_type_symbol
_atom_site_fract_x
_atom_site_fract_y
_atom_site_fract_z
_atom_site_occupancy
In1 In 0.250 0.250 0.128 1
Pd1 Pd 0.250 0.750 0.500 1
N1 N 0.250 0.250 0.440 1
O1 O 0.250 0.750 0.000 1
```

A plane-wave DFT calculation with PBE was carried out for an optimized crystal structure of InPdNO.

Structure (CIF):
```
data_InPdNO
_cell_length_a 3.777
_cell_length_b 6.911
_cell_length_c 4.361
_cell_angle_alpha 90.00
_cell_angle_beta 90.00
_cell_angle_gamma 90.00
_symmetry_space_group_name_H-M 'P m c 21'
_symmetry_Int_Tables_number 26
_symmetry_space_group_name_Hall 'P 2c -2'
loop_
_atom_site_label
_atom_site_type_symbol
_atom_site_fract_x
_atom_site_fract_y
_atom_site_fract_z
_atom_site_occupancy
In1 In 0.000 0.176 0.000 1
Pd1 Pd 0.500 0.387 0.504 1
N1 N 0.500 0.322 0.978 1
O1 O 0.000 0.133 0.496 1
```

no.,excess energy over the best structure of this formula in the dataset (meV/atom)
1,213
2,0
3,81